[1]
Here is an optimized crystal structure of Tl3CuTe2O9 from Alexandria via LeMat-Bulk. Energies are from PBE.

The calculation puts the total energy at -4.77 eV/atom. Its space group is P-3m1, No. 164. For the density of states at the Fermi level, the calculation gives 0.604 states/eV/atom. The value obtained for the magnetic moment is 0.57 μB/cell. The value obtained for the energy relative to the elements, uncorrected is -0.63 eV/atom.

```
Tl3CuTe2O9
1.0
-4.863 -2.752 -1.342
4.960 -1.576 -2.437
1.144 -4.612 5.311
Tl Cu Te O
3 1 2 9
direct
0.333 0.667 0.654
0.000 0.000 0.000
0.667 0.333 0.346
0.000 0.000 0.500
0.333 0.667 0.175
0.667 0.333 0.825
0.832 0.168 0.678
0.832 0.663 0.678
0.337 0.168 0.678
0.663 0.832 0.322
0.168 0.337 0.322
0.168 0.832 0.322
0.500 0.000 0.000
0.000 0.500 0.000
0.500 0.500 0.000
```

=====

[2]
Here is an optimized crystal structure of Li4ZrTc from Alexandria via LeMat-Bulk. Energies are from PBE.

The calculation puts the total energy at -4.10 eV/atom. Its space group is F-43m, No. 216. For the density of states at the Fermi level, the calculation gives 0.776 states/eV/atom. The value obtained for the magnetic moment is 0.00 μB/cell. The formation energy is 324 meV per atom.

```
Li4ZrTc
1.0
0.405 -4.834 1.239
-3.031 -3.386 -2.102
1.828 -3.287 -3.305
Li Zr Tc
4 1 1
direct
0.867 0.378 0.378
0.378 0.378 0.867
0.378 0.867 0.378
0.378 0.378 0.378
0.000 0.000 0.000
0.750 0.750 0.750
```

=====

[3]
Here is an optimized crystal structure of BPtF2 from Alexandria via LeMat-Bulk. Energies are from PBE.

The calculation puts the total energy at -3.45 eV/atom. The calculation puts the excess energy over the best structure of this formula in the dataset at 5.66 eV/f.u. Its space group is Fm-3m, No. 225. For the density of states at the Fermi level, the calculation gives 1.516 states/eV/atom. The value obtained for the magnetic moment is 1.00 μB/cell. The value obtained for the energy relative to the elements, uncorrected is 0.67 eV/atom.

```
BPtF2
1.0
0.000 2.874 2.874
2.874 0.000 2.874
2.874 2.874 0.000
B Pt F
1 1 2
direct
0.000 0.000 0.000
0.500 0.500 0.500
0.250 0.250 0.250
0.750 0.750 0.750
```

=====

[4]
Here is an optimized crystal structure of ZrMnTe4 from Alexandria via LeMat-Bulk. Energies are from PBE.

The calculation puts the total energy at -5.42 eV/atom. Its space group is Cmmm, No. 65. For the density of states at the Fermi level, the calculation gives 0.590 states/eV/atom. The value obtained for the magnetic moment is 3.44 μB/cell. The value obtained for the energy relative to the elements, uncorrected is -0.37 eV/atom.

```
ZrMnTe4
1.0
3.937 0.000 0.000
0.000 6.773 -0.100
0.000 -0.089 6.773
Zr Mn Te
1 1 4
direct
0.000 0.500 0.500
0.500 0.000 0.000
0.500 0.287 0.713
0.000 0.809 0.809
0.000 0.191 0.191
0.500 0.713 0.287
```